This record from Alexandria describes crystalline TlTeOsN2 at its relaxed geometry. The functional is PBE.

It has space group P4/mmm (No. 123), with a = 3.987 Å, b = 3.987 Å, c = 5.720 Å, α = 90.00°, β = 90.00° and γ = 90.00°. Symmetry generates all atoms from Tl at (0.000, 0.000, 0.000), Te at (0.500, 0.500, 0.000), Os at (0.500, 0.500, 0.500) and N at (0.000, 0.500, 0.500).

The density of states at the Fermi level comes out at 0.824 states/eV per atom. For the offset from the most stable computed form, the calculation gives 0 meV per atom. The total DFT energy (no corrections) is -29.5 eV per cell. The formation energy (no corrections) is 0.7851 eV/atom.

***

This record from Alexandria describes crystalline MnCo2Os at its relaxed geometry. The functional is PBE.

It has space group F-43m (No. 216), with a = 5.785 Å, b = 5.785 Å, c = 5.785 Å, α = 90.00°, β = 90.00° and γ = 90.00°. Symmetry generates all atoms from Mn at (0.000, 0.000, 0.000), Co at (0.000, 0.000, 0.500), Co at (0.250, 0.250, 0.250) and Os at (0.250, 0.250, 0.750).

The density of states at the Fermi level comes out at 1.728 states/eV per atom. For the offset from the most stable computed form, the calculation gives 180 meV per atom. The total DFT energy (no corrections) is -134.6 eV per cell. The energy of formation is 239 meV/atom.

***

This record from Alexandria describes crystalline Be2FeOs2 at its relaxed geometry. The functional is PBE.

It has space group P4/mbm (No. 127), with a = 5.997 Å, b = 5.997 Å, c = 3.042 Å, α = 90.00°, β = 90.00° and γ = 90.00°. Symmetry generates all atoms from Be at (0.124, 0.376, 0.000), Fe at (0.000, 0.000, 0.000) and Os at (0.173, 0.673, 0.500).

The density of states at the Fermi level comes out at 0.900 states/eV per atom. For the offset from the most stable computed form, the calculation gives 0 meV per atom. The total DFT energy (no corrections) is -77.7 eV per cell. The energy of formation is -98 meV/atom.

***

This record from Alexandria describes crystalline As3PdO at its relaxed geometry. The functional is PBE.

It has space group Pm-3m (No. 221), with a = 4.363 Å, b = 4.363 Å, c = 4.363 Å, α = 90.00°, β = 90.00° and γ = 90.00°. Symmetry generates all atoms from As at (0.000, 0.000, 0.500), Pd at (0.500, 0.500, 0.500) and O at (0.000, 0.000, 0.000).

The density of states at the Fermi level comes out at 1.024 states/eV per atom. For the offset from the most stable computed form, the calculation gives 0 meV per atom. The total DFT energy (no corrections) is -23.1 eV per cell. The formation energy (no corrections) is 0.2022 eV/atom.

***

This record from Alexandria describes crystalline Ce2TlCo at its relaxed geometry. The functional is PBE.

It has space group R3m (No. 160, hexagonal axes), with a = 3.7541 Å, b = 3.7541 Å, c = 25.5625 Å, α = 90.00°, β = 90.00° and γ = 120.00°. Symmetry generates all atoms from Ce at (0.0000, 0.0000, 0.0000), Ce at (0.0000, 0.0000, 0.2101), Tl at (0.0000, 0.0000, 0.4374) and Co at (0.0000, 0.0000, 0.6078).

The density of states at the Fermi level comes out at 2.018 states/eV per atom. For the offset from the most stable computed form, the calculation gives 33 meV per atom. The total DFT energy (no corrections) is -65.7 eV per cell. The energy of formation is -140 meV/atom.

***

This record from Alexandria describes crystalline Ac2GdTh at its relaxed geometry. The functional is PBE.

It has space group P4/mmm (No. 123), with a = 3.771 Å, b = 3.771 Å, c = 10.697 Å, α = 90.00°, β = 90.00° and γ = 90.00°. Symmetry generates all atoms from Ac at (0.000, 0.000, 0.244), Gd at (0.500, 0.500, 0.500) and Th at (0.500, 0.500, 0.000).

The density of states at the Fermi level comes out at 1.894 states/eV per atom. For the offset from the most stable computed form, the calculation gives 0 meV per atom. The total DFT energy (no corrections) is -29.3 eV per cell. The energy of formation is 106 meV/atom.

***

This record from Alexandria describes crystalline Y4InHgN at its relaxed geometry. The functional is PBE.

It has space group Cmcm (No. 63), with a = 6.833 Å, b = 15.071 Å, c = 6.836 Å, α = 90.00°, β = 90.00° and γ = 90.00°. Symmetry generates all atoms from Y at (0.000, 0.080, 0.250), Y at (0.000, 0.413, 0.250), Y at (0.250, 0.250, 0.000), In at (0.000, 0.383, 0.750), Hg at (0.000, 0.118, 0.750) and N at (0.000, 0.251, 0.250).

The density of states at the Fermi level comes out at 0.250 states/eV per atom. The total DFT energy (no corrections) is -169.9 eV per cell. The formation energy (no corrections) is -0.7498 eV/atom.

***

This record from Alexandria describes crystalline CSe2 at its relaxed geometry. The functional is PBE.

It has space group P6/mmm (No. 191), with a = 4.7999 Å, b = 4.7999 Å, c = 2.6232 Å, α = 90.00°, β = 90.00° and γ = 120.00°. Symmetry generates all atoms from C at (0.0000, 0.0000, 0.0000) and Se at (0.3333, 0.6667, 0.0000).

The density of states at the Fermi level comes out at 0.601 states/eV per atom. For the offset from the most stable computed form, the calculation gives 1473 meV per atom. The total DFT energy (no corrections) is -10.1 eV per cell. The formation energy (no corrections) is 2.0337 eV/atom.

***

This record from Alexandria describes crystalline TbPaGePd at its relaxed geometry. The functional is PBE.

It has space group F-43m (No. 216), with a = 7.117 Å, b = 7.117 Å, c = 7.117 Å, α = 90.00°, β = 90.00° and γ = 90.00°. Symmetry generates all atoms from Tb at (0.000, 0.000, 0.000), Pa at (0.000, 0.000, 0.500), Ge at (0.250, 0.250, 0.250) and Pd at (0.250, 0.250, 0.750).

The density of states at the Fermi level comes out at 1.957 states/eV per atom. The total DFT energy (no corrections) is -102.8 eV per cell. The energy of formation is -439 meV/atom.

***

This record from Alexandria describes crystalline Cd2TcMo at its relaxed geometry. The functional is PBE.

It has space group P2/m (No. 10), with a = 2.753 Å, b = 4.779 Å, c = 5.472 Å, α = 90.00°, β = 104.04° and γ = 90.00°. Symmetry generates all atoms from Cd at (0.220, 0.000, 0.253), Tc at (0.000, 0.500, 0.500) and Mo at (0.500, 0.500, 0.000).

The density of states at the Fermi level comes out at 0.898 states/eV per atom. For the offset from the most stable computed form, the calculation gives 318 meV per atom. The total DFT energy (no corrections) is -21.0 eV per cell. The energy of formation is 504 meV/atom.

***

This record from Alexandria describes crystalline Ta2BeFe at its relaxed geometry. The functional is PBE.

It has space group I-4m2 (No. 119), with a = 3.588 Å, b = 3.588 Å, c = 8.740 Å, α = 90.00°, β = 90.00° and γ = 90.00°. Symmetry generates all atoms from Ta at (0.000, 0.000, 0.000), Ta at (0.000, 0.500, 0.250), Be at (0.000, 0.500, 0.750) and Fe at (0.000, 0.000, 0.500).

The density of states at the Fermi level comes out at 0.938 states/eV per atom. The total DFT energy (no corrections) is -71.2 eV per cell. The energy of formation is 71 meV/atom.

***

This record from Alexandria describes crystalline Hf2ReAs at its relaxed geometry. The functional is PBE.

It has space group I-42d (No. 122), with a = 6.057 Å, b = 6.057 Å, c = 11.895 Å, α = 90.00°, β = 90.00° and γ = 90.00°. Symmetry generates all atoms from Hf at (0.235, 0.250, 0.125), Re at (0.000, 0.000, 0.000) and As at (0.000, 0.000, 0.500).

The density of states at the Fermi level comes out at 0.186 states/eV per atom. The total DFT energy (no corrections) is -136.5 eV per cell. The energy of formation is 720 meV/atom.